## TaAgSe2O7 (GGA-PBE)

Data for TaAgSe2O7 after structural relaxation.

Cell lengths 6.5828, 6.5828, 7.2973 Å; angles 90.00, 90.00, 72.15 degrees
With the nearest neighbours (Å) after each atom.
Element x y z (fractional)
1 Ta 0.0000 0.0000 0.0000  6 O 1.94-2.00
2 Ta 0.0000 0.0000 0.5000  6 O 1.94-2.00
3 Ag 0.5000 0.5000 0.0000  4 O 2.43
4 Ag 0.5000 0.5000 0.5000  4 O 2.43
5 Se 0.0479 0.5186 0.7500  3 O 1.69-1.78
6 Se 0.4814 0.9521 0.7500  3 O 1.69-1.78
7 Se 0.5186 0.0479 0.2500  3 O 1.69-1.78
8 Se 0.9521 0.4814 0.2500  3 O 1.69-1.78
9 O 0.0384 0.6947 0.5634  1 Se 1.78
10 O 0.0384 0.6947 0.9366  1 Se 1.78
11 O 0.0849 0.9151 0.2500  2 Ta 1.94
12 O 0.3053 0.9616 0.5634  1 Se 1.78
13 O 0.3053 0.9616 0.9366  1 Se 1.78
14 O 0.3132 0.3894 0.7500  1 Se 1.69
15 O 0.3894 0.3132 0.2500  1 Se 1.69
16 O 0.6106 0.6868 0.7500  1 Se 1.69
17 O 0.6868 0.6106 0.2500  1 Se 1.69
18 O 0.6947 0.0384 0.0634  1 Se 1.78
19 O 0.6947 0.0384 0.4366  1 Se 1.78
20 O 0.9151 0.0849 0.7500  2 Ta 1.94
21 O 0.9616 0.3053 0.0634  1 Se 1.78
22 O 0.9616 0.3053 0.4366  1 Se 1.78

Properties
Symmetry ... No. 63
Energy ... -6.45 eV per atom
V ... 150.5 Å³/f.u.
Magnetic moment ... 0.0 μB per formula unit